#P
First-principles (GGA-PBE) data for a geometry-optimized Ni2AgOs structure, as listed in Alexandria via LeMat-Bulk.

Geometry as POSCAR:
```
Ni2AgOs
1.0
9.137 0.000 0.000
0.000 2.632 0.000
-1.115 0.000 4.448
Ni Ag Os
4 2 2
Cartesian
0.000 0.000 0.000
1.717 1.316 1.332
4.569 1.316 0.000
6.285 0.000 1.332
3.872 0.000 2.202
8.440 1.316 2.202
1.427 0.000 3.726
5.996 1.316 3.726
```

Output
total magnetization: 0.01 μB/cell
SG: Cm, No. 8

#Q
First-principles (GGA-PBE) data for a geometry-optimized Ni2AgOs structure, as listed in Alexandria via LeMat-Bulk.

Geometry as POSCAR:
```
Ni2AgOs
1.0
2.630 0.000 0.000
0.000 3.769 0.000
0.000 0.000 5.502
Ni Ag Os
2 1 1
Cartesian
0.000 0.000 0.000
1.315 1.884 1.345
1.315 1.884 4.114
0.000 0.000 2.414
```

Output
total magnetization: 0.03 μB/cell
SG: Pmm2, No. 25

Stability ranking, top and bottom: #P is the most stable and #Q is the least stable.

#P
First-principles (GGA-PBE) data for a geometry-optimized Ba2IrCl structure, as listed in Alexandria via LeMat-Bulk.

Geometry as POSCAR:
```
Ba2IrCl
1.0
3.809 0.000 0.000
0.000 3.825 0.000
0.000 0.000 8.208
Ba Ir Cl
2 1 1
Cartesian
0.000 0.000 1.822
0.000 0.000 6.386
1.905 1.913 0.000
1.905 1.913 4.104
```

Output
total magnetization: 0.04 μB/cell
SG: Pmmm, No. 47

#Q
First-principles (GGA-PBE) data for a geometry-optimized Ba2IrCl structure, as listed in Alexandria via LeMat-Bulk.

Geometry as POSCAR:
```
Ba2IrCl
1.0
7.862 0.000 0.000
0.000 7.860 0.000
-0.008 0.000 3.729
Ba Ir Cl
4 2 2
Cartesian
1.965 1.965 0.000
1.965 5.895 0.000
5.896 1.965 0.000
5.896 5.895 0.000
-0.004 0.000 1.865
3.927 3.930 1.865
-0.004 3.930 1.865
3.927 0.000 1.865
```

Output
total magnetization: 0.00 μB/cell
SG: C2/m, No. 12

Stability ranking, top and bottom: #P is the most stable and #Q is the least stable.

#P
First-principles (GGA-PBE) data for a geometry-optimized ReMoPd structure, as listed in Alexandria via LeMat-Bulk.

Geometry as POSCAR:
```
ReMoPd
1.0
4.511 0.000 0.000
-2.255 3.907 0.000
0.000 0.000 2.631
Re Mo Pd
1 1 1
Cartesian
0.000 0.000 0.000
0.000 2.604 1.643
2.255 1.302 0.358
```

Output
total magnetization: 0.00 μB/cell
SG: P3m1, No. 156

#Q
First-principles (GGA-PBE) data for a geometry-optimized ReMoPd structure, as listed in Alexandria via LeMat-Bulk.

Geometry as POSCAR:
```
ReMoPd
1.0
2.754 0.000 0.000
0.000 2.754 0.000
0.000 0.000 12.096
Re Mo Pd
2 2 2
Cartesian
0.000 0.000 0.000
1.377 1.377 6.048
0.000 0.000 8.003
1.377 1.377 1.955
0.000 0.000 4.027
1.377 1.377 10.075
```

Output
total magnetization: 0.00 μB/cell
SG: I4mm, No. 107

Stability ranking, top and bottom: #Q is the most stable and #P is the least stable.

#P
First-principles (GGA-PBE) data for a geometry-optimized Cd2Hg3 structure, as listed in Alexandria via LeMat-Bulk.

Geometry as POSCAR:
```
Cd2Hg3
1.0
3.617 0.000 0.000
-1.808 3.132 0.000
0.000 0.000 33.411
Cd Hg
6 9
Cartesian
0.000 0.000 3.363
0.000 0.000 30.047
0.000 2.088 18.910
0.000 2.088 25.637
1.808 1.044 7.773
1.808 1.044 14.500
0.000 0.000 9.989
0.000 0.000 16.705
0.000 0.000 23.421
0.000 2.088 5.568
0.000 2.088 12.284
0.000 2.088 32.263
1.808 1.044 1.147
1.808 1.044 21.126
1.808 1.044 27.842
```

Output
total magnetization: 0.00 μB/cell
SG: R-3m, No. 166

#Q
First-principles (GGA-PBE) data for a geometry-optimized Cd2Hg3 structure, as listed in Alexandria via LeMat-Bulk.

Geometry as POSCAR:
```
Cd2Hg3
1.0
0.000 7.857 3.202
5.010 0.000 3.202
5.010 7.857 0.000
Cd Hg
4 6
Cartesian
5.212 4.729 3.202
7.312 8.657 4.802
4.807 10.986 3.202
7.717 14.915 4.802
4.439 1.579 2.765
1.934 2.350 1.165
3.075 5.508 1.165
5.010 7.857 2.817
7.515 11.786 4.418
0.571 6.279 2.765
```

Output
total magnetization: 0.00 μB/cell
SG: Fdd2, No. 43

Stability ranking, top and bottom: #P is the most stable and #Q is the least stable.

#P
First-principles (GGA-PBE) data for a geometry-optimized Tc2Au structure, as listed in Alexandria via LeMat-Bulk.

Geometry as POSCAR:
```
Tc2Au
1.0
2.788 0.000 0.000
-1.394 2.415 0.000
0.000 0.000 7.013
Tc Au
2 1
Cartesian
0.000 1.610 2.487
1.394 0.805 4.526
0.000 0.000 0.000
```

Output
total magnetization: 0.00 μB/cell
SG: P-3m1, No. 164

#Q
First-principles (GGA-PBE) data for a geometry-optimized Tc2Au structure, as listed in Alexandria via LeMat-Bulk.

Geometry as POSCAR:
```
Tc2Au
1.0
2.857 0.000 0.000
0.000 2.857 0.000
0.000 0.000 11.683
Tc Au
4 2
Cartesian
0.000 0.000 2.129
0.000 0.000 9.554
1.428 1.428 3.713
1.428 1.428 7.971
0.000 0.000 5.842
1.428 1.428 0.000
```

Output
total magnetization: 0.00 μB/cell
SG: I4/mmm, No. 139

Stability ranking, top and bottom: #P is the most stable and #Q is the least stable.

#P
First-principles (GGA-PBE) data for a geometry-optimized VZnAsSe2 structure, as listed in Alexandria via LeMat-Bulk.

Geometry as POSCAR:
```
VZnAsSe2
1.0
4.780 0.000 0.000
0.000 4.780 0.000
0.000 0.000 4.880
V Zn As Se
1 1 1 2
Cartesian
0.000 0.000 0.000
2.390 2.390 2.440
0.000 0.000 2.440
0.000 2.390 0.000
2.390 0.000 0.000
```

Output
total magnetization: 0.00 μB/cell
SG: P4/mmm, No. 123

#Q
First-principles (GGA-PBE) data for a geometry-optimized VZnAsSe2 structure, as listed in Alexandria via LeMat-Bulk.

Geometry as POSCAR:
```
VZnAsSe2
1.0
4.904 0.000 0.000
0.000 4.904 0.000
0.000 0.000 4.671
V Zn As Se
1 1 1 2
Cartesian
0.000 0.000 0.000
2.452 2.452 2.335
2.452 2.452 0.000
0.000 2.452 2.335
2.452 0.000 2.335
```

Output
total magnetization: 0.00 μB/cell
SG: P4/mmm, No. 123

Stability ranking, top and bottom: #P is the most stable and #Q is the least stable.

#P
First-principles (GGA-PBE) data for a geometry-optimized TlCd2Ni structure, as listed in Alexandria via LeMat-Bulk.

Geometry as POSCAR:
```
TlCd2Ni
1.0
4.263 0.000 0.000
0.000 3.008 0.000
-2.106 0.000 6.958
Tl Cd Ni
1 2 1
Cartesian
0.000 0.000 0.000
0.029 1.504 4.924
2.146 0.000 2.805
0.013 1.504 2.286
```

Output
total magnetization: 0.00 μB/cell
SG: Pm, No. 6

#Q
First-principles (GGA-PBE) data for a geometry-optimized TlCd2Ni structure, as listed in Alexandria via LeMat-Bulk.

Geometry as POSCAR:
```
TlCd2Ni
1.0
3.307 0.000 0.000
-1.654 2.864 0.000
0.000 0.000 26.755
Tl Cd Ni
3 6 3
Cartesian
0.000 0.000 0.000
0.000 1.910 17.836
1.654 0.955 8.918
0.000 0.000 14.022
0.000 0.000 20.418
0.000 1.910 5.104
0.000 1.910 11.499
1.654 0.955 2.581
1.654 0.955 22.941
0.000 0.000 6.976
0.000 1.910 24.813
1.654 0.955 15.894
```

Output
total magnetization: 0.00 μB/cell
SG: R3m, No. 160

Stability ranking, top and bottom: #P is the most stable and #Q is the least stable.